! Dy2PaPt (PBE-GGA, optimized geometry); values from VASP
! calculated density = 11.7 Mg/m³
! V = 26.7 Å³ per atom
! relative energy among the computed polymorphs = 372.0 meV/atom
! N(E_F) = 4.4 states/eV/cell
! uncorrected energy = -6.278 eV/atom
! space group = No. 166
! formation enthalpy at 0 K = -36 kJ/mol of formula units
&SYSTEM
  ibrav = 0, nat = 4, ntyp = 3
/
ATOMIC_SPECIES
Dy 162.50 Dy.upf
Pa 231.04 Pa.upf
Pt 195.08 Pt.upf
CELL_PARAMETERS angstrom
1.700 0.981 10.652
-1.700 0.981 10.652
0.000 -1.963 10.652
ATOMIC_POSITIONS crystal
Dy 0.103 0.103 0.103
Dy 0.897 0.897 0.897
Pa 0.000 0.000 0.000
Pt 0.500 0.500 0.500

***

! Dy2PaPt (PBE-GGA, optimized geometry); values from VASP
! calculated density = 12.7 Mg/m³
! V = 24.6 Å³ per atom
! relative energy among the computed polymorphs = 0.0 meV/atom
! N(E_F) = 5.6 states/eV/cell
! uncorrected energy = -6.650 eV/atom
! space group = No. 123
! formation enthalpy at 0 K = -179 kJ/mol of formula units
&SYSTEM
  ibrav = 0, nat = 4, ntyp = 3
/
ATOMIC_SPECIES
Dy 162.50 Dy.upf
Pa 231.04 Pa.upf
Pt 195.08 Pt.upf
CELL_PARAMETERS angstrom
3.473 0.000 0.000
0.000 3.473 0.000
0.000 0.000 8.165
ATOMIC_POSITIONS crystal
Dy 0.000 0.000 0.209
Dy 0.000 0.000 0.791
Pa 0.500 0.500 0.500
Pt 0.500 0.500 0.000

***

! Dy2PaPt3 (PBE-GGA, optimized geometry); values from VASP
! calculated density = 13.2 Mg/m³
! V = 23.9 Å³ per atom
! N(E_F) = 11.1 states/eV/cell
! uncorrected energy = -7.243 eV/atom
! space group = No. 70
! formation enthalpy at 0 K = -640 kJ/mol of formula units
&SYSTEM
  ibrav = 0, nat = 24, ntyp = 3
/
ATOMIC_SPECIES
Dy 162.50 Dy.upf
Pa 231.04 Pa.upf
Pt 195.08 Pt.upf
CELL_PARAMETERS angstrom
0.000 5.756 12.193
4.082 0.000 12.193
4.082 5.756 0.000
ATOMIC_POSITIONS crystal
Dy 0.042 0.042 0.208
Dy 0.126 0.126 0.624
Dy 0.208 0.208 0.042
Dy 0.376 0.376 0.874
Dy 0.624 0.624 0.126
Dy 0.792 0.792 0.958
Dy 0.874 0.874 0.376
Dy 0.958 0.958 0.792
Pa 0.291 0.291 0.459
Pa 0.459 0.459 0.291
Pa 0.541 0.541 0.709
Pa 0.709 0.709 0.541
Pt 0.041 0.538 0.219
Pt 0.135 0.615 0.615
Pt 0.219 0.702 0.041
Pt 0.298 0.781 0.462
Pt 0.385 0.865 0.865
Pt 0.462 0.959 0.298
Pt 0.538 0.041 0.702
Pt 0.615 0.135 0.135
Pt 0.702 0.219 0.538
Pt 0.781 0.298 0.959
Pt 0.865 0.385 0.385
Pt 0.959 0.462 0.781